(1)
Sm2AlGa3Cu4 | PBE-GGA | relaxed

Lattice parameters (Å, degrees): 4.1796 4.1796 10.1547 90.00 90.00 90.00
Positions (direct):
Sm (0.5000, 0.0000, 0.2437)
Sm (0.0000, 0.5000, 0.7563)
Al (0.5000, 0.5000, 0.5000)
Ga (0.0000, 0.0000, 0.5000)
Ga (0.5000, 0.0000, 0.8702)
Ga (0.0000, 0.5000, 0.1298)
Cu (0.5000, 0.5000, 0.0000)
Cu (0.0000, 0.0000, 0.0000)
Cu (0.5000, 0.0000, 0.6333)
Cu (0.0000, 0.5000, 0.3667)

Output
For the density of states at the Fermi level, the calculation gives 5.363 states/eV/f.u. Its energy of formation from the pure elements is -0.44 eV/atom.

=====

(2)
CaSb2P | PBE-GGA | relaxed

Lattice parameters (Å, degrees): 3.9888 4.9651 6.1103 62.69 90.00 90.00
Positions (direct):
Ca (0.5000, 0.2500, 0.2500)
P (0.5000, 0.7500, 0.7500)
Sb (0.0000, 0.9317, 0.9754)
Sb (0.0000, 0.5683, 0.5246)

Output
The value obtained for the formation energy without anion corrections is -0.291 eV per atom. For the density of states at the Fermi level, the calculation gives 1.652 states/eV/f.u.

=====

Which value of density of states at the Fermi level does entry 2 give? 1.652 states/eV/f.u.